# 1
Computed, not measured: a relaxed MnFeC3 crystal at the GGA-PBE level of DFT.

Unit cell a=3.7188 b=3.7188 c=3.7188 alpha=90.00 beta=90.00 gamma=90.00
Fractional coordinates of all 5 atoms:
1 Mn 0.0000 0.0000 0.0000
2 Fe 0.5000 0.5000 0.5000
3 C 0.0000 0.0000 0.5000
4 C 0.0000 0.5000 0.0000
5 C 0.5000 0.0000 0.0000

Computed properties:
**ΔE_f**: 1881.1 meV/atom
**Magnetic moment**: 2.6 μB/f.u.
**ΔE to the lowest computed polymorph**: 0 meV per atom
**ρ**: 4.74 g/cm³
**DOS at the Fermi energy**: 0.815 states/eV per atom

***

# 2
Computed, not measured: a relaxed MgScTa2 crystal at the GGA-PBE level of DFT.

Unit cell a=2.9347 b=2.9347 c=9.7652 alpha=90.00 beta=90.00 gamma=106.73
Fractional coordinates of all 4 atoms:
1 Mg 0.0000 0.0000 0.0000
2 Sc 0.5000 0.5000 0.2769
3 Ta 0.0000 0.0000 0.5210
4 Ta 0.5000 0.5000 0.7456

Computed properties:
**ΔE_f**: 127.1 meV/atom
**Magnetic moment**: 0.0 μB/f.u.
**ρ**: 8.89 g/cm³
**DOS at the Fermi energy**: 1.178 states/eV per atom

***

# 3
Computed, not measured: a relaxed TiMoRu3 crystal at the GGA-PBE level of DFT.

Unit cell a=4.6003 b=4.6003 c=4.6003 alpha=90.00 beta=90.00 gamma=90.00
Fractional coordinates of all 5 atoms:
1 Ti 0.0000 0.0000 0.0000
2 Mo 0.5000 0.5000 0.5000
3 Ru 0.0000 0.5000 0.5000
4 Ru 0.5000 0.0000 0.5000
5 Ru 0.5000 0.5000 0.0000

Computed properties:
**ΔE_f**: 1296.1 meV/atom
**Magnetic moment**: 0.0 μB/f.u.
**ρ**: 7.62 g/cm³
**DOS at the Fermi energy**: 0.885 states/eV per atom

***

# 4
Computed, not measured: a relaxed AsBr2Cl crystal at the GGA-PBE level of DFT.

Unit cell a=5.0077 b=5.0077 c=3.6594 alpha=90.00 beta=90.00 gamma=90.00
Fractional coordinates of all 4 atoms:
1 As 0.0000 0.0000 0.0000
2 Br 0.0000 0.5000 0.5000
3 Br 0.5000 0.0000 0.5000
4 Cl 0.5000 0.5000 0.0000

Computed properties:
**Magnetic moment**: 0.4 μB/f.u.
**Uncorrected formation energy**: 0.549 eV per atom
**ΔE to the lowest computed polymorph**: 1078 meV per atom
**ρ**: 4.89 g/cm³
**DOS at the Fermi energy**: 1.221 states/eV per atom

***

# 5
Computed, not measured: a relaxed MgVZn4 crystal at the GGA-PBE level of DFT.

Unit cell a=5.1134 b=5.1134 c=5.1134 alpha=60.00 beta=60.00 gamma=60.00
Fractional coordinates of all 6 atoms:
1 Mg 0.0000 0.0000 0.0000
2 V 0.2500 0.2500 0.2500
3 Zn 0.1269 0.6244 0.6244
4 Zn 0.6244 0.1269 0.6244
5 Zn 0.6244 0.6244 0.1269
6 Zn 0.6244 0.6244 0.6244

Computed properties:
**ΔE_f**: 33.3 meV/atom
**Magnetic moment**: 3.6 μB/f.u.
**ρ**: 5.92 g/cm³
**DOS at the Fermi energy**: 0.654 states/eV per atom

***

# 6
Computed, not measured: a relaxed LiNi2P crystal at the GGA-PBE level of DFT.

Unit cell a=3.9650 b=4.3847 c=4.3847 alpha=37.66 beta=90.00 gamma=90.00
Fractional coordinates of all 4 atoms:
1 Li 0.0000 0.0000 0.0000
2 Ni 0.0000 0.2686 0.2686
3 Ni 0.5000 0.6563 0.6563
4 P 0.5000 0.3773 0.3773

Computed properties:
**ΔE_f**: -350.9 meV/atom
**Magnetic moment**: 0.0 μB/f.u.
**ρ**: 5.54 g/cm³
**DOS at the Fermi energy**: 0.428 states/eV per atom

***

# 7
Computed, not measured: a relaxed Ca2CuRh3O8 crystal at the GGA-PBE level of DFT.

Unit cell a=6.5093 b=6.5093 c=6.5093 alpha=57.61 beta=57.61 gamma=57.61
Fractional coordinates of all 14 atoms:
1 Ca 0.0000 0.0000 0.0000
2 Ca 0.3738 0.3738 0.3738
3 Cu 0.5780 0.5780 0.5780
4 Rh 0.0005 0.0005 0.5013
5 Rh 0.0005 0.5013 0.0005
6 Rh 0.5013 0.0005 0.0005
7 O 0.2123 0.7455 0.7455
8 O 0.2322 0.2322 0.2322
9 O 0.2519 0.2519 0.7997
10 O 0.2519 0.7997 0.2519
11 O 0.7455 0.2123 0.7455
12 O 0.7455 0.7455 0.2123
13 O 0.7723 0.7723 0.7723
14 O 0.7997 0.2519 0.2519

Computed properties:
**Magnetic moment**: 0.0 μB/f.u.
**Uncorrected formation energy**: -1.360 eV per atom
**ρ**: 5.23 g/cm³
**DOS at the Fermi energy**: 0.618 states/eV per atom

***

# 8
Computed, not measured: a relaxed CaSmCd2 crystal at the GGA-PBE level of DFT.

Unit cell a=5.3960 b=5.3960 c=5.3960 alpha=60.00 beta=60.00 gamma=60.00
Fractional coordinates of all 4 atoms:
1 Ca 0.0000 0.0000 0.0000
2 Sm 0.5000 0.5000 0.5000
3 Cd 0.2500 0.2500 0.2500
4 Cd 0.7500 0.7500 0.7500

Computed properties:
**ΔE_f**: -358.4 meV/atom
**Magnetic moment**: 0.0 μB/f.u.
**ΔE to the lowest computed polymorph**: 0 meV per atom
**ρ**: 6.21 g/cm³
**DOS at the Fermi energy**: 0.889 states/eV per atom

***

# 9
Computed, not measured: a relaxed HRh2Au crystal at the GGA-PBE level of DFT.

Unit cell a=2.8346 b=2.8346 c=7.1822 alpha=101.05 beta=101.05 gamma=60.10
Fractional coordinates of all 4 atoms:
1 H 0.0000 0.0000 0.0000
2 Rh 0.3902 0.3902 0.1667
3 Rh 0.6176 0.6176 0.8414
4 Au 0.1669 0.1669 0.5018

Computed properties:
**Magnetic moment**: 0.2 μB/f.u.
**ΔE to the lowest computed polymorph**: 0 meV per atom
**ρ**: 13.74 g/cm³
**DOS at the Fermi energy**: 1.362 states/eV per atom

***

# 10
Computed, not measured: a relaxed Ac2PaV2N7 crystal at the GGA-PBE level of DFT.

Unit cell a=3.9288 b=3.9288 c=10.6179 alpha=99.65 beta=99.65 gamma=89.58
Fractional coordinates of all 12 atoms:
1 Ac 0.1959 0.1959 0.3619
2 Ac 0.8041 0.8041 0.6381
3 Pa 0.0000 0.0000 0.0000
4 V 0.3763 0.3763 0.8162
5 V 0.6237 0.6237 0.1838
6 N 0.0772 0.5753 0.1659
7 N 0.3217 0.3217 0.6217
8 N 0.4247 0.9228 0.8341
9 N 0.5000 0.5000 0.0000
10 N 0.5753 0.0772 0.1659
11 N 0.6783 0.6783 0.3783
12 N 0.9228 0.4247 0.8341

Computed properties:
**Magnetic moment**: 0.0 μB/f.u.
**Uncorrected formation energy**: -1.072 eV per atom
**ρ**: 9.23 g/cm³
**DOS at the Fermi energy**: 0.025 states/eV per atom

***

# 11
Computed, not measured: a relaxed MnTc2Os crystal at the GGA-PBE level of DFT.

Unit cell a=2.6675 b=2.6675 c=8.7210 alpha=90.00 beta=90.00 gamma=113.91
Fractional coordinates of all 4 atoms:
1 Mn 0.0000 0.0000 0.0000
2 Tc 0.5000 0.5000 0.2392
3 Tc 0.5000 0.5000 0.7608
4 Os 0.0000 0.0000 0.5000

Computed properties:
**ΔE_f**: 337.2 meV/atom
**Magnetic moment**: 1.9 μB/f.u.
**ΔE to the lowest computed polymorph**: 280 meV per atom
**ρ**: 12.91 g/cm³
**DOS at the Fermi energy**: 1.337 states/eV per atom

***

# 12
Computed, not measured: a relaxed Na3CaZn crystal at the GGA-PBE level of DFT.

Unit cell a=5.6609 b=5.6609 c=5.6609 alpha=90.00 beta=90.00 gamma=90.00
Fractional coordinates of all 5 atoms:
1 Na 0.0000 0.0000 0.5000
2 Na 0.0000 0.5000 0.0000
3 Na 0.5000 0.0000 0.0000
4 Ca 0.5000 0.5000 0.5000
5 Zn 0.0000 0.0000 0.0000

Computed properties:
**ΔE_f**: 202.9 meV/atom
**Magnetic moment**: 0.0 μB/f.u.
**ΔE to the lowest computed polymorph**: 0 meV per atom
**ρ**: 1.60 g/cm³
**DOS at the Fermi energy**: 0.631 states/eV per atom